No. 1
Density functional theory data (PBE) for a relaxed CsSr2Tc crystal.

Structure (POSCAR):
```
CsSr2Tc
1.0
-4.2780 4.2780 6.0371
4.2780 -4.2780 6.0371
4.2780 4.2780 -6.0371
Cs Sr Tc
2 4 2
Cartesian
0.0000 0.0000 0.0000 Cs
0.0000 4.2780 3.0185 Cs
2.1390 -0.0140 4.5278 Sr
4.2641 2.1390 1.5093 Sr
2.1390 4.2920 -1.5093 Sr
0.0140 2.1390 7.5464 Sr
4.2780 0.0000 3.0185 Tc
0.0000 0.0000 6.0371 Tc
```

Values from the calculation:
spin magnetization: 0.00 Bohr magnetons per cell
energy: -21.44 eV/cell

***

No. 2
Density functional theory data (PBE) for a relaxed Tm2TlBi crystal.

Structure (POSCAR):
```
Tm2TlBi
1.0
2.0832 1.2027 8.0473
-2.0832 1.2027 8.0473
0.0000 -2.4055 8.0473
Tm Tl Bi
2 1 1
Cartesian
0.0000 0.0000 5.9359 Tm
0.0000 0.0000 18.2059 Tm
0.0000 0.0000 0.0000 Tl
0.0000 0.0000 12.0709 Bi
```

Values from the calculation:
ΔE to the lowest computed polymorph: 0 meV per atom
spin magnetization: 0.00 Bohr magnetons per cell
energy: -16.87 eV/cell

***

No. 3
Density functional theory data (PBE) for a relaxed CdCu2Ir crystal.

Structure (POSCAR):
```
CdCu2Ir
1.0
-1.9453 1.9453 3.8902
1.9453 -1.9453 3.8902
1.9453 1.9453 -3.8902
Cd Cu Ir
1 2 1
Cartesian
0.0000 0.0000 0.0000 Cd
1.9453 0.0000 1.9451 Cu
0.0000 0.0000 3.8902 Cu
0.0000 1.9453 1.9451 Ir
```

Values from the calculation:
spin magnetization: 0.00 Bohr magnetons per cell
energy: -17.25 eV/cell

***

No. 4
Density functional theory data (PBE) for a relaxed ZrHgAu3 crystal.

Structure (POSCAR):
```
ZrHgAu3
1.0
5.3385 0.0000 0.0000
0.0000 5.3385 0.0000
0.0000 0.0000 5.3385
Zr Hg Au
1 1 3
Cartesian
0.0000 0.0000 0.0000 Zr
2.6692 2.6692 2.6692 Hg
0.0000 0.0000 2.6692 Au
0.0000 2.6692 0.0000 Au
2.6692 0.0000 0.0000 Au
```

Values from the calculation:
ΔE to the lowest computed polymorph: 0 meV per atom
spin magnetization: 0.00 Bohr magnetons per cell
energy: -15.91 eV/cell

***

No. 5
Density functional theory data (PBE) for a relaxed Nd8Y5Mg crystal.

Structure (POSCAR):
```
Nd8Y5Mg
1.0
-5.2005 5.2005 4.5126
5.2005 -5.2005 4.5126
5.2005 5.2005 -4.5126
Nd Y Mg
8 5 1
Cartesian
7.9772 -1.7062 1.7860 Nd
3.4943 -2.7768 2.7266 Nd
5.1710 1.7155 -0.6601 Nd
2.4237 1.7062 1.7860 Nd
6.9066 2.7768 2.7266 Nd
3.4849 -0.0295 5.1727 Nd
1.7155 5.2299 0.6601 Nd
0.0295 3.4849 3.8525 Nd
6.2308 3.8846 -3.1934 Y
-1.0304 1.3159 1.3193 Y
0.0000 0.0000 4.5126 Y
3.8846 4.1701 3.1934 Y
1.3159 1.0304 7.7060 Y
5.2005 0.0000 2.2563 Mg
```

Values from the calculation:
spin magnetization: 0.00 Bohr magnetons per cell
energy: -68.79 eV/cell

***

No. 6
Density functional theory data (PBE) for a relaxed Ca3Ac3Tl2Pd crystal.

Structure (POSCAR):
```
Ca3Ac3Tl2Pd
1.0
9.3190 0.0000 0.0000
-4.6595 8.0705 0.0000
0.0000 0.0000 4.1636
Ca Ac Tl Pd
3 3 2 1
Cartesian
-1.9057 3.3007 0.0000 Ca
3.8114 0.0000 0.0000 Ca
2.7538 4.7698 0.0000 Ca
-3.5139 6.0862 2.0818 Ac
1.1456 1.9843 2.0818 Ac
7.0277 0.0000 2.0818 Ac
0.0000 5.3803 2.0818 Tl
4.6595 2.6902 2.0818 Tl
0.0000 0.0000 0.0000 Pd
```

Values from the calculation:
spin magnetization: 0.00 Bohr magnetons per cell
energy: -31.58 eV/cell

***

No. 7
Density functional theory data (PBE) for a relaxed DyHo4PbS8 crystal.

Structure (POSCAR):
```
DyHo4PbS8
1.0
4.0560 2.3417 6.6433
-4.0560 2.3417 6.6433
0.0000 -4.6835 6.6433
Dy Ho Pb S
1 4 1 8
Cartesian
0.0000 0.0000 0.0000 Dy
0.0000 2.3776 16.5544 Ho
2.0591 -1.1888 16.5544 Ho
-2.0591 -1.1888 16.5544 Ho
0.0000 0.0000 12.4186 Ho
0.0000 0.0000 7.4257 Pb
-2.1495 -1.2410 11.5284 S
0.0000 0.0000 4.6582 S
0.0000 -2.5966 8.3649 S
-2.2487 1.2983 8.3649 S
2.1495 -1.2410 11.5284 S
0.0000 2.4820 11.5284 S
0.0000 0.0000 15.0614 S
2.2487 1.2983 8.3649 S
```

Values from the calculation:
spin magnetization: 0.00 Bohr magnetons per cell
formation energy (no corrections): -1.767 eV per atom
energy: -84.38 eV/cell

***

No. 8
Density functional theory data (PBE) for a relaxed PIrBr2 crystal.

Structure (POSCAR):
```
PIrBr2
1.0
3.1316 -1.8084 0.0000
3.1316 1.8084 0.0000
-0.3403 0.0000 8.6534
P Ir Br
1 1 2
Cartesian
0.0000 0.0000 0.0000 P
2.0880 0.0000 0.9918 Ir
4.1771 0.0000 2.7165 Br
5.9237 0.0000 6.4357 Br
```

Values from the calculation:
ΔE to the lowest computed polymorph: 0 meV per atom
spin magnetization: 0.00 Bohr magnetons per cell
formation energy (no corrections): -0.435 eV per atom
energy: -19.36 eV/cell

***

No. 9
Density functional theory data (PBE) for a relaxed Y3PdI3 crystal.

Structure (POSCAR):
```
Y3PdI3
1.0
-6.1181 6.1181 6.1181
6.1181 -6.1181 6.1181
6.1181 6.1181 -6.1181
Y Pd I
12 4 12
Cartesian
1.7876 1.5295 -1.2715 Y
7.3896 1.7876 -1.5295 Y
1.5295 -1.2715 1.7876 Y
4.8467 4.3305 -1.5295 Y
4.3305 1.5295 1.2715 Y
-1.2715 1.7876 1.5295 Y
4.3305 -1.5295 4.8467 Y
1.5295 1.2715 4.3305 Y
1.2715 4.3305 1.5295 Y
1.7876 -1.5295 7.3896 Y
-1.5295 7.3896 1.7876 Y
-1.5295 4.8467 4.3305 Y
4.5886 1.5295 -1.5295 Pd
1.5295 1.5295 1.5295 Pd
1.5295 -1.5295 4.5886 Pd
-1.5295 4.5886 1.5295 Pd
7.6477 1.4268 1.6323 I
7.6477 -1.4268 4.4858 I
4.4858 7.6477 -1.4268 I
4.6913 1.6323 4.5886 I
4.5886 4.6913 1.6323 I
1.6323 7.6477 1.4268 I
7.5449 4.4858 4.5886 I
1.6323 4.5886 4.6913 I
1.4268 1.6323 7.6477 I
4.5886 7.5449 4.4858 I
-1.4268 4.4858 7.6477 I
4.4858 4.5886 7.5449 I
```

Values from the calculation:
spin magnetization: 0.00 Bohr magnetons per cell
formation energy (no corrections): -1.046 eV per atom
energy: -146.22 eV/cell

***

No. 10
Density functional theory data (PBE) for a relaxed GeSb2TeI crystal.

Structure (POSCAR):
```
GeSb2TeI
1.0
5.8004 0.0000 0.0000
0.0000 5.8004 0.0000
0.0000 0.0000 5.6982
Ge Sb Te I
1 2 1 1
Cartesian
0.0000 0.0000 0.0000 Ge
0.0000 2.9002 2.8491 Sb
2.9002 0.0000 2.8491 Sb
2.9002 2.9002 0.0000 Te
2.9002 2.9002 2.8491 I
```

Values from the calculation:
ΔE to the lowest computed polymorph: 638 meV per atom
spin magnetization: 0.00 Bohr magnetons per cell
formation energy (no corrections): 1.179 eV per atom
energy: -11.66 eV/cell

***

No. 11
Density functional theory data (PBE) for a relaxed AcTbAl2Ge crystal.

Structure (POSCAR):
```
AcTbAl2Ge
1.0
-2.2306 2.3103 6.2385
2.2306 -2.3103 6.2385
2.2306 2.3103 -6.2385
Ac Tb Al Ge
1 1 2 1
Cartesian
0.0000 0.0000 0.0000 Ac
2.2306 0.0000 3.2045 Tb
0.0000 0.0000 7.5965 Al
0.0000 2.3103 2.9886 Al
0.0000 0.0000 5.0142 Ge
```

Values from the calculation:
spin magnetization: 0.00 Bohr magnetons per cell
energy: -23.33 eV/cell

***

No. 12
Density functional theory data (PBE) for a relaxed PmEr2Bi crystal.

Structure (POSCAR):
```
PmEr2Bi
1.0
0.0000 3.8812 3.8812
3.8812 0.0000 3.8812
3.8812 3.8812 0.0000
Pm Er Bi
1 2 1
Cartesian
0.0000 0.0000 0.0000 Pm
1.9406 1.9406 1.9406 Er
5.8219 5.8219 5.8219 Er
3.8812 3.8812 3.8812 Bi
```

Values from the calculation:
ΔE to the lowest computed polymorph: 331 meV per atom
spin magnetization: 0.00 Bohr magnetons per cell
energy: -18.26 eV/cell